Below is crystalline Ac2TbAu at its relaxed geometry, with properties calculated at the GGA-PBE level.

Cell lengths 3.8595, 3.8595, 11.7882 Å; angles 80.58, 80.58, 60.00 degrees
With the nearest neighbours (Å) after each atom.
Atoms (fractional coordinates):
Ac  0.8990  0.8990  0.3030  3 Au 3.19, 1 Tb 3.51
Ac  0.1010  0.1010  0.6970  3 Au 3.19, 1 Tb 3.51
Tb  0.0000  0.0000  0.0000  2 Ac 3.51, 6 Tb 3.86
Au  0.5000  0.5000  0.5000  6 Ac 3.19

Summary:
* SG: No. 166
* formation energy from the elements: 0.02 eV per atom
* spin magnetization: 0.00 μB/f.u.
* energy above the lowest structure with this stoichiometry: 348.8 meV per atom